No. 1
First-principles (GGA-PBE) data for an optimized crystal structure of Tb3Ga3Ni, as listed in Alexandria.

a = 4.2795 Å, b = 5.7651 Å, c = 13.5325 Å
α = 84.72°, β = 80.90°, γ = 68.21°
Last column: nearest neighbours and their distance in Å.
Element x y z (fractional)
Tb 0.4702 0.6745 0.3851  7 Ga 3.02-3.29, 4 Ni 3.08-3.23
Tb 0.2579 0.2482 0.2359  6 Ga 2.99-3.15, 2 Ni 3.09
Tb 0.6053 0.7113 0.0781  7 Ga 3.05-3.15
Tb 0.5298 0.3255 0.6149  7 Ga 3.02-3.29, 4 Ni 3.08-3.23
Tb 0.7421 0.7518 0.7641  6 Ga 2.99-3.15, 2 Ni 3.09
Tb 0.3947 0.2887 0.9219  7 Ga 3.05-3.15
Ga 0.1096 0.8574 0.9233  2 Ga 2.60-2.65
Ga 0.9636 0.8356 0.2372  1 Ni 2.57, 1 Ga 2.65
Ga 0.0364 0.1644 0.7628  1 Ni 2.57, 1 Ga 2.65
Ga 0.1500 0.2402 0.4598  3 Ni 2.44-2.62
Ga 0.8904 0.1426 0.0767  2 Ga 2.60-2.65
Ga 0.8500 0.7598 0.5402  3 Ni 2.44-2.62
Ni 0.2469 0.9004 0.6058  4 Ga 2.44-2.62
Ni 0.7531 0.0996 0.3942  4 Ga 2.44-2.62

Computed properties:
theoretical density: 8.08 Mg/m³
symmetry: No. 12
formation energy from the elements: -0.61 eV per atom
DOS at the Fermi energy: 12.17 states/eV/cell
crystal system: monoclinic

No. 2
First-principles (GGA-PBE) data for an optimized crystal structure of CaThAl2, as listed in Alexandria.

a = 3.5512 Å, b = 3.5512 Å, c = 8.0749 Å
α = 90.00°, β = 90.00°, γ = 90.00°
Last column: nearest neighbours and their distance in Å.
Element x y z (fractional)
Ca 0.5000 0.5000 0.5000  8 Al 3.20, 4 Ca 3.55
Th 0.5000 0.5000 0.0000  8 Al 3.25, 4 Th 3.55
Al 0.0000 0.0000 0.2548  4 Ca 3.20, 4 Th 3.25, 4 Al 3.55
Al 0.0000 0.0000 0.7452  4 Ca 3.20, 4 Th 3.25, 4 Al 3.55

Computed properties:
offset from the most stable computed form: 0.000 eV/atom
theoretical density: 5.32 Mg/m³
symmetry: No. 123
formation energy from the elements: -0.22 eV per atom
DOS at the Fermi energy: 2.15 states/eV/cell
crystal system: tetragonal